a.
! CuTc (SCAN, PBEsol geometry); values from VASP
&SYSTEM
  ibrav = 0, nat = 4, ntyp = 2
/
ATOMIC_SPECIES
Cu 63.55 Cu.upf
Tc 98.00 Tc.upf
CELL_PARAMETERS angstrom
2.680 0.000 0.000
-1.340 2.321 0.000
0.000 0.000 8.353
ATOMIC_POSITIONS crystal
Cu 0.333 0.667 0.118
Cu 0.667 0.333 0.882
Tc 0.333 0.667 0.622
Tc 0.667 0.333 0.378
! Space group: No. 164

b.
! CuTc (SCAN, PBEsol geometry); values from VASP
&SYSTEM
  ibrav = 0, nat = 4, ntyp = 2
/
ATOMIC_SPECIES
Cu 63.55 Cu.upf
Tc 98.00 Tc.upf
CELL_PARAMETERS angstrom
2.719 0.000 0.000
0.000 2.719 0.000
0.000 0.000 6.945
ATOMIC_POSITIONS crystal
Cu 0.250 0.250 0.111
Cu 0.750 0.750 0.889
Tc 0.250 0.250 0.624
Tc 0.750 0.750 0.376
! Space group: No. 129

What should be chosen as the least stable of them? Choose b.

a.
! La2SeBr (SCAN, PBEsol geometry); values from VASP
&SYSTEM
  ibrav = 0, nat = 4, ntyp = 3
/
ATOMIC_SPECIES
La 138.91 La.upf
Se 78.96 Se.upf
Br 79.90 Br.upf
CELL_PARAMETERS angstrom
2.149 1.241 6.787
-2.149 1.241 6.787
0.000 -2.481 6.787
ATOMIC_POSITIONS crystal
La 0.246 0.246 0.246
La 0.754 0.754 0.754
Se 0.500 0.500 0.500
Br 0.000 0.000 0.000
! Space group: No. 166

b.
! La2SeBr (SCAN, PBEsol geometry); values from VASP
&SYSTEM
  ibrav = 0, nat = 4, ntyp = 3
/
ATOMIC_SPECIES
La 138.91 La.upf
Se 78.96 Se.upf
Br 79.90 Br.upf
CELL_PARAMETERS angstrom
0.000 3.670 3.670
3.670 0.000 3.670
3.670 3.670 0.000
ATOMIC_POSITIONS crystal
La 0.250 0.250 0.250
La 0.750 0.750 0.750
Se 0.000 0.000 0.000
Br 0.500 0.500 0.500
! Space group: No. 225

What should be chosen as the least stable of them? Choose b.

a.
! NiRuPt2 (SCAN, PBEsol geometry); values from VASP
&SYSTEM
  ibrav = 0, nat = 4, ntyp = 3
/
ATOMIC_SPECIES
Ni 58.69 Ni.upf
Ru 101.07 Ru.upf
Pt 195.08 Pt.upf
CELL_PARAMETERS angstrom
2.690 0.000 0.000
0.000 3.740 0.000
0.000 0.000 5.372
ATOMIC_POSITIONS crystal
Ni 0.000 0.000 0.000
Ru 0.500 0.500 0.764
Pt 0.000 0.000 0.520
Pt 0.500 0.500 0.243
! Space group: No. 25

b.
! NiRuPt2 (SCAN, PBEsol geometry); values from VASP
&SYSTEM
  ibrav = 0, nat = 4, ntyp = 3
/
ATOMIC_SPECIES
Ni 58.69 Ni.upf
Ru 101.07 Ru.upf
Pt 195.08 Pt.upf
CELL_PARAMETERS angstrom
2.690 0.000 0.000
0.000 2.690 0.000
0.000 0.000 7.427
ATOMIC_POSITIONS crystal
Ni 0.000 0.000 0.000
Ru 0.500 0.500 0.778
Pt 0.000 0.000 0.521
Pt 0.500 0.500 0.241
! Space group: No. 99

What should be chosen as the least stable of them? Choose a.

a.
! AsIr3 (SCAN, PBEsol geometry); values from VASP
&SYSTEM
  ibrav = 0, nat = 4, ntyp = 2
/
ATOMIC_SPECIES
As 74.92 As.upf
Ir 192.22 Ir.upf
CELL_PARAMETERS angstrom
3.857 0.000 0.000
0.000 3.857 0.000
0.000 0.000 3.857
ATOMIC_POSITIONS crystal
As 0.000 0.000 0.000
Ir 0.000 0.500 0.500
Ir 0.500 0.000 0.500
Ir 0.500 0.500 0.000
! Space group: No. 221

b.
! AsIr3 (SCAN, PBEsol geometry); values from VASP
&SYSTEM
  ibrav = 0, nat = 4, ntyp = 2
/
ATOMIC_SPECIES
As 74.92 As.upf
Ir 192.22 Ir.upf
CELL_PARAMETERS angstrom
2.743 -3.779 0.000
2.743 3.779 0.000
0.000 0.000 2.789
ATOMIC_POSITIONS crystal
As 0.000 0.000 0.000
Ir 0.000 0.500 0.500
Ir 0.500 0.000 0.500
Ir 0.500 0.500 0.000
! Space group: No. 65

What should be chosen as the least stable of them? Choose a.

a.
! RePtW2 (SCAN, PBEsol geometry); values from VASP
&SYSTEM
  ibrav = 0, nat = 4, ntyp = 3
/
ATOMIC_SPECIES
Re 186.21 Re.upf
Pt 195.08 Pt.upf
W 183.84 W.upf
CELL_PARAMETERS angstrom
2.774 -3.970 0.000
2.774 3.970 0.000
0.000 0.000 2.743
ATOMIC_POSITIONS crystal
Re 0.000 0.000 0.000
Pt 0.500 0.500 0.000
W 0.000 0.500 0.500
W 0.500 0.000 0.500
! Space group: No. 65

b.
! RePtW2 (SCAN, PBEsol geometry); values from VASP
&SYSTEM
  ibrav = 0, nat = 4, ntyp = 3
/
ATOMIC_SPECIES
Re 186.21 Re.upf
Pt 195.08 Pt.upf
W 183.84 W.upf
CELL_PARAMETERS angstrom
-1.974 1.974 3.873
1.974 -1.974 3.873
1.974 1.974 -3.873
ATOMIC_POSITIONS crystal
Re 0.000 0.000 0.000
Pt 0.500 0.500 0.000
W 0.250 0.750 0.500
W 0.750 0.250 0.500
! Space group: No. 139

What should be chosen as the least stable of them? Choose a.

a.
! CoIr2Rh (SCAN, PBEsol geometry); values from VASP
&SYSTEM
  ibrav = 0, nat = 4, ntyp = 3
/
ATOMIC_SPECIES
Co 58.93 Co.upf
Ir 192.22 Ir.upf
Rh 102.91 Rh.upf
CELL_PARAMETERS angstrom
1.334 0.770 8.522
-1.334 0.770 8.522
0.000 -1.540 8.522
ATOMIC_POSITIONS crystal
Co 0.000 0.000 0.000
Ir 0.500 0.500 0.500
Ir 0.746 0.746 0.746
Rh 0.254 0.254 0.254
! Space group: No. 160

b.
! CoIr2Rh (SCAN, PBEsol geometry); values from VASP
&SYSTEM
  ibrav = 0, nat = 4, ntyp = 3
/
ATOMIC_SPECIES
Co 58.93 Co.upf
Ir 192.22 Ir.upf
Rh 102.91 Rh.upf
CELL_PARAMETERS angstrom
2.659 0.000 0.000
0.000 3.694 0.000
0.000 0.000 5.308
ATOMIC_POSITIONS crystal
Co 0.000 0.000 0.000
Ir 0.500 0.500 0.242
Ir 0.500 0.500 0.758
Rh 0.000 0.000 0.500
! Space group: No. 47

What should be chosen as the least stable of them? Choose a.

a.
! LiCaAg2 (SCAN, PBEsol geometry); values from VASP
&SYSTEM
  ibrav = 0, nat = 4, ntyp = 3
/
ATOMIC_SPECIES
Li 6.94 Li.upf
Ca 40.08 Ca.upf
Ag 107.87 Ag.upf
CELL_PARAMETERS angstrom
4.610 0.000 0.000
0.000 4.610 0.000
0.000 0.000 3.867
ATOMIC_POSITIONS crystal
Li 0.000 0.000 0.000
Ca 0.500 0.500 0.000
Ag 0.000 0.500 0.500
Ag 0.500 0.000 0.500
! Space group: No. 123

b.
! LiCaAg2 (SCAN, PBEsol geometry); values from VASP
&SYSTEM
  ibrav = 0, nat = 4, ntyp = 3
/
ATOMIC_SPECIES
Li 6.94 Li.upf
Ca 40.08 Ca.upf
Ag 107.87 Ag.upf
CELL_PARAMETERS angstrom
2.264 1.307 4.863
-2.264 1.307 4.863
0.000 -2.614 4.863
ATOMIC_POSITIONS crystal
Li 0.000 0.000 0.000
Ca 0.500 0.500 0.500
Ag 0.291 0.291 0.291
Ag 0.709 0.709 0.709
! Space group: No. 166

What should be chosen as the least stable of them? Choose a.

a.
! Zn4Hg (SCAN, PBEsol geometry); values from VASP
&SYSTEM
  ibrav = 0, nat = 5, ntyp = 2
/
ATOMIC_SPECIES
Zn 65.41 Zn.upf
Hg 200.59 Hg.upf
CELL_PARAMETERS angstrom
-3.157 3.157 1.982
3.157 -3.157 1.982
3.157 3.157 -1.982
ATOMIC_POSITIONS crystal
Zn 0.094 0.311 0.404
Zn 0.311 0.906 0.217
Zn 0.689 0.094 0.783
Zn 0.906 0.689 0.596
Hg 0.500 0.500 0.000
! Space group: No. 87

b.
! Zn4Hg (SCAN, PBEsol geometry); values from VASP
&SYSTEM
  ibrav = 0, nat = 5, ntyp = 2
/
ATOMIC_SPECIES
Zn 65.41 Zn.upf
Hg 200.59 Hg.upf
CELL_PARAMETERS angstrom
1.477 0.853 10.706
-1.477 0.853 10.706
0.000 -1.705 10.706
ATOMIC_POSITIONS crystal
Zn 0.094 0.094 0.094
Zn 0.302 0.302 0.302
Zn 0.698 0.698 0.698
Zn 0.906 0.906 0.906
Hg 0.500 0.500 0.500
! Space group: No. 166

What should be chosen as the least stable of them? Choose b.

a.
! Tc2NiW (SCAN, PBEsol geometry); values from VASP
&SYSTEM
  ibrav = 0, nat = 4, ntyp = 3
/
ATOMIC_SPECIES
Tc 98.00 Tc.upf
Ni 58.69 Ni.upf
W 183.84 W.upf
CELL_PARAMETERS angstrom
3.776 0.000 0.000
0.000 3.776 0.000
0.000 0.000 3.772
ATOMIC_POSITIONS crystal
Tc 0.000 0.500 0.000
Tc 0.500 0.000 0.000
Ni 0.000 0.000 0.500
W 0.500 0.500 0.500
! Space group: No. 123

b.
! Tc2NiW (SCAN, PBEsol geometry); values from VASP
&SYSTEM
  ibrav = 0, nat = 4, ntyp = 3
/
ATOMIC_SPECIES
Tc 98.00 Tc.upf
Ni 58.69 Ni.upf
W 183.84 W.upf
CELL_PARAMETERS angstrom
2.610 -4.369 0.000
2.610 4.369 0.000
-1.025 0.000 2.402
ATOMIC_POSITIONS crystal
Tc 0.000 0.500 0.000
Tc 0.500 0.000 0.000
Ni 0.000 0.000 0.500
W 0.500 0.500 0.500
! Space group: No. 12

What should be chosen as the least stable of them? Choose b.

a.
! Tl2PtCl (SCAN, PBEsol geometry); values from VASP
&SYSTEM
  ibrav = 0, nat = 4, ntyp = 3
/
ATOMIC_SPECIES
Tl 204.38 Tl.upf
Pt 195.08 Pt.upf
Cl 35.45 Cl.upf
CELL_PARAMETERS angstrom
3.708 -3.714 0.000
3.708 3.714 0.000
-0.259 0.000 3.070
ATOMIC_POSITIONS crystal
Tl 0.000 0.500 0.000
Tl 0.500 0.000 0.000
Pt 0.000 0.000 0.500
Cl 0.500 0.500 0.500
! Space group: No. 12

b.
! Tl2PtCl (SCAN, PBEsol geometry); values from VASP
&SYSTEM
  ibrav = 0, nat = 4, ntyp = 3
/
ATOMIC_SPECIES
Tl 204.38 Tl.upf
Pt 195.08 Pt.upf
Cl 35.45 Cl.upf
CELL_PARAMETERS angstrom
-1.984 1.984 6.010
1.984 -1.984 6.010
1.984 1.984 -6.010
ATOMIC_POSITIONS crystal
Tl 0.000 0.000 0.000
Tl 0.750 0.250 0.500
Pt 0.250 0.750 0.500
Cl 0.500 0.500 0.000
! Space group: No. 119

What should be chosen as the least stable of them? Choose b.